## MnPPbS2 (PBE)

Data for an optimized crystal structure of MnPPbS2.

Structure (POSCAR):
```
MnPPbS2
1.0
4.7552 0.0000 0.0000
0.0000 4.7552 0.0000
0.0000 0.0000 4.5006
Mn P Pb S
1 1 1 2
Direct
0.0000 0.0000 0.0000
0.0000 0.0000 0.5000
0.5000 0.5000 0.5000
0.0000 0.5000 0.0000
0.5000 0.0000 0.0000
```

Properties
Total energy: -5.30 eV per atom
Raw formation energy: 0.009 eV/atom
Space-group type: P4/mmm, No. 123
Polymorph energy (0 for the lowest one): 0.0 meV per atom

***

## MnP2PbS8 (PBE)

Data for an optimized crystal structure of MnP2PbS8.

Structure (POSCAR):
```
MnP2PbS8
1.0
2.8887 1.6678 8.5027
-2.8887 1.6678 8.5027
0.0000 -3.3356 8.5027
Mn P Pb S
1 2 1 8
Direct
0.0000 0.0000 0.0000
0.2568 0.2568 0.2568
0.7432 0.7432 0.7432
0.5000 0.5000 0.5000
0.0689 0.7217 0.3731
0.1778 0.1778 0.1778
0.2783 0.6269 0.9311
0.3731 0.0689 0.7217
0.6269 0.9311 0.2783
0.7217 0.3731 0.0689
0.8222 0.8222 0.8222
0.9311 0.2783 0.6269
```

Properties
Total energy: -4.95 eV per atom
Raw formation energy: -0.224 eV/atom
Space-group type: R-3, No. 148

***

## MnSnPPb2 (PBE)

Data for an optimized crystal structure of MnSnPPb2.

Structure (POSCAR):
```
MnSnPPb2
1.0
5.7766 0.0000 0.0000
0.0000 5.7766 0.0000
0.0000 0.0000 5.0220
Mn Sn P Pb
1 1 1 2
Direct
0.0000 0.0000 0.0000
0.0000 0.0000 0.5000
0.5000 0.5000 0.0000
0.0000 0.5000 0.5000
0.5000 0.0000 0.5000
```

Properties
Total energy: -4.18 eV per atom
Space-group type: P4/mmm, No. 123
ΔE_f: 5.12 eV/f.u.

***

## MnPPd6 (PBE)

Data for an optimized crystal structure of MnPPd6.

Structure (POSCAR):
```
MnPPd6
1.0
3.9600 2.2863 2.4909
-3.9600 2.2863 2.4909
0.0000 -4.5726 2.4909
Mn P Pd
1 1 6
Direct
0.0000 0.0000 0.0000
0.5000 0.5000 0.5000
0.1995 0.1995 0.5967
0.1995 0.5967 0.1995
0.4033 0.8005 0.8005
0.5967 0.1995 0.1995
0.8005 0.4033 0.8005
0.8005 0.8005 0.4033
```

Properties
Total energy: -5.83 eV per atom
Space-group type: R-3m, No. 166
ΔE_f: -0.88 eV/f.u.

***

> The lowest total energy belongs to which entry?

MnPPd6

***

> The highest total energy belongs to which entry?

MnSnPPb2

***

> Which value of total energy does entry 1 give?

-5.30 eV per atom

***

> Among the records above, which one has the lowest total energy?

MnPPd6